[1]
The following is a PBE-GGA calculation of a relaxed structure of Pr2InPd6, from Alexandria.

Results
**Density**: 9.5 g/cm3
**Energy relative to the lowest polymorph listed for this composition**: 0.0 kJ/mol of atoms
**E**: -5.52 eV/atom
**Calculated formation energy**: -692.2 meV per atom

abc: 6.138 5.847 5.847
angles: 60.00 90.00 90.00
Sites, in units of the cell vectors:
Pr  0.195  0.333  0.333
Pd  0.677  0.650  0.175
Pd  0.323  0.350  0.825
Pd  0.677  0.175  0.175
Pd  0.677  0.175  0.650
Pd  0.323  0.825  0.825
Pr  0.805  0.667  0.667
Pd  0.323  0.825  0.350
In  0.000  0.000  0.000

[2]
The following is a PBE-GGA calculation of a relaxed structure of Pr3In3Pd2, from Alexandria.

Results
**Density**: 7.8 g/cm3
**E**: -4.74 eV/atom
**Calculated formation energy**: -623.2 meV per atom

abc: 4.636 5.291 9.005
angles: 101.63 104.92 90.00
Sites, in units of the cell vectors:
Pr  0.000  0.000  0.000
Pd  0.772  0.857  0.543
In  0.500  0.500  0.000
Pr  0.157  0.598  0.314
In  0.638  0.092  0.276
Pd  0.228  0.143  0.457
Pr  0.843  0.402  0.686
In  0.362  0.908  0.724

[3]
The following is a PBE-GGA calculation of a relaxed structure of PrIn2Pd2, from Alexandria.

Results
**Density**: 8.9 g/cm3
**E**: -4.71 eV/atom
**Calculated formation energy**: -578.3 meV per atom

abc: 4.950 4.950 5.866
angles: 65.04 65.04 59.99
Sites, in units of the cell vectors:
Pd  0.414  0.914  0.759
In  0.777  0.277  0.668
Pd  0.586  0.086  0.241
In  0.223  0.723  0.332
Pr  0.000  0.500  0.000

[4]
The following is a PBE-GGA calculation of a relaxed structure of PrIn3Pd3, from Alexandria.

Results
**Density**: 8.6 g/cm3
**Energy relative to the lowest polymorph listed for this composition**: 0.0 kJ/mol of atoms
**E**: -4.61 eV/atom
**Calculated formation energy**: -529.7 meV per atom

abc: 4.592 8.849 8.854
angles: 119.97 90.00 90.00
Sites, in units of the cell vectors:
In  0.750  0.277  0.244
Pr  0.750  0.334  0.667
In  0.250  0.244  0.967
Pd  0.750  0.945  0.388
In  0.250  0.033  0.277
In  0.750  0.756  0.033
Pd  0.750  0.443  0.055
Pd  0.250  0.388  0.443
Pd  0.750  0.612  0.557
Pr  0.250  0.666  0.333
Pd  0.250  0.055  0.612
In  0.250  0.723  0.756
Pd  0.250  0.557  0.945
In  0.750  0.967  0.723

[5]
The following is a PBE-GGA calculation of a relaxed structure of PrIn12Pd4, from Alexandria.

Results
**Density**: 7.3 g/cm3
**E**: -3.64 eV/atom
**Calculated formation energy**: -206.2 meV per atom

abc: 8.309 8.309 8.309
angles: 109.47 109.47 109.47
Sites, in units of the cell vectors:
In  0.177  0.840  0.337
Pd  0.500  0.000  0.000
In  0.498  0.160  0.337
In  0.337  0.177  0.840
In  0.663  0.502  0.840
Pd  0.500  0.500  0.500
Pd  0.000  0.000  0.500
In  0.502  0.840  0.663
In  0.160  0.663  0.823
In  0.840  0.337  0.177
Pd  0.000  0.500  0.000
In  0.337  0.498  0.160
In  0.823  0.160  0.663
Pr  0.000  0.000  0.000
In  0.160  0.337  0.498
In  0.663  0.823  0.160
In  0.840  0.663  0.502

[6]
The following is a PBE-GGA calculation of a relaxed structure of Pr2In5Pd3, from Alexandria.

Results
**Density**: 8.5 g/cm3
**Energy relative to the lowest polymorph listed for this composition**: 0.0 kJ/mol of atoms
**E**: -4.52 eV/atom
**Calculated formation energy**: -632.3 meV per atom

abc: 13.626 13.626 7.346
angles: 90.00 90.00 160.36
Sites, in units of the cell vectors:
In  0.401  0.599  0.408
In  0.293  0.707  0.905
In  0.709  0.291  0.000
In  0.948  0.052  0.102
In  0.052  0.948  0.602
Pr  0.826  0.174  0.210
In  0.599  0.401  0.908
Pd  0.227  0.773  0.200
Pd  0.392  0.608  0.022
Pd  0.048  0.952  0.989
Pd  0.773  0.227  0.700
Pr  0.521  0.479  0.274
In  0.124  0.876  0.255
In  0.876  0.124  0.755
Pr  0.479  0.521  0.774
Pr  0.174  0.826  0.710
In  0.707  0.293  0.405
In  0.291  0.709  0.500
Pd  0.952  0.048  0.489
Pd  0.608  0.392  0.522